# NbTc3Ru

A geometry-optimized NbTc3Ru structure (PBE-GGA, Alexandria via LeMat-Bulk).

```
data_NbTc3Ru
_chemical_formula_sum 'Nb1 Tc3 Ru1'
_space_group_name_H-M_alt 'P m -3 m'
_space_group_IT_number 221
_space_group_name_Hall '-P 4 2 3'
_cell_length_a 4.638
_cell_length_b 4.638
_cell_length_c 4.638
_cell_angle_alpha 90.00
_cell_angle_beta 90.00
_cell_angle_gamma 90.00
loop_
_atom_site_label
_atom_site_fract_x
_atom_site_fract_y
_atom_site_fract_z
Nb1 0.000 0.000 0.000
Tc1 0.000 0.000 0.500
Ru1 0.500 0.500 0.500
```

Computed properties:
**E above lowest polymorph**: 442 meV per atom
**Calculated volume**: 99.77 Å³/f.u.
**Energy of formation from the pure elements**: 2.030 eV per atom